1.
Computed, not measured: an optimized crystal structure of KCaLaNb2 at the GGA-PBEsol level of DFT.

extended XYZ file:
```
5
Lattice="-2.813 -3.659 -2.135 -1.312 -1.685 4.615 -4.595 3.540 -0.014" Properties=species:S:1:pos:R:3 pbc="T T T"
K -4.360 -0.902 1.233
Nb -0.656 -0.842 2.308
Nb -1.406 -1.830 -1.068
Ca 0.000 0.000 0.000
La -2.298 1.770 -0.007
```

Summary:
- symmetry = No. 123
- volume (A^3/atom) = 30.0
- total magnetization (μB/cell) = 1.79
- DFT formation energy (eV/atom) = 1.90

2.
Computed, not measured: an optimized crystal structure of KCa2LaOs at the GGA-PBEsol level of DFT.

extended XYZ file:
```
5
Lattice="4.883 0.000 0.000 0.000 6.239 0.000 0.000 0.000 6.239" Properties=species:S:1:pos:R:3 pbc="T T T"
Ca 0.000 0.000 3.119
Ca 0.000 3.119 0.000
Os 2.442 0.000 0.000
K 2.442 3.119 3.119
La 0.000 0.000 0.000
```

Summary:
- symmetry = No. 123
- volume (A^3/atom) = 38.0
- total magnetization (μB/cell) = 0.00
- DFT formation energy (eV/atom) = 0.95

3.
Computed, not measured: an optimized crystal structure of KCa2LaP at the GGA-PBEsol level of DFT.

extended XYZ file:
```
5
Lattice="5.522 0.000 0.000 0.000 5.338 0.000 0.000 0.000 5.338" Properties=species:S:1:pos:R:3 pbc="T T T"
P 2.761 0.000 0.000
Ca 0.000 0.000 2.669
Ca 0.000 2.669 0.000
K 0.000 0.000 0.000
La 2.761 2.669 2.669
```

Summary:
- symmetry = No. 123
- volume (A^3/atom) = 31.5
- total magnetization (μB/cell) = 0.00
- DFT formation energy (eV/atom) = 0.67

4.
Computed, not measured: an optimized crystal structure of KCaLa2Ru at the GGA-PBEsol level of DFT.

extended XYZ file:
```
5
Lattice="5.324 0.000 0.000 0.000 5.324 0.000 0.000 0.000 6.496" Properties=species:S:1:pos:R:3 pbc="T T T"
Ru 0.000 0.000 0.000
Ca 2.662 2.662 3.248
K 0.000 0.000 3.248
La 0.000 2.662 0.000
La 2.662 0.000 0.000
```

Summary:
- symmetry = No. 123
- volume (A^3/atom) = 36.8
- total magnetization (μB/cell) = 0.00
- DFT formation energy (eV/atom) = 0.22

5.
Computed, not measured: an optimized crystal structure of KCaLaY2 at the GGA-PBEsol level of DFT.

extended XYZ file:
```
5
Lattice="-3.076 -4.412 1.381 1.621 -2.588 -4.657 4.344 -2.177 2.721" Properties=species:S:1:pos:R:3 pbc="T T T"
Y 2.172 -1.088 1.361
Y 0.810 -1.294 -2.329
Ca -1.538 -2.206 0.690
K 0.000 0.000 0.000
La 1.444 -4.588 -0.278
```

Summary:
- symmetry = No. 123
- volume (A^3/atom) = 34.4
- total magnetization (μB/cell) = 0.00
- DFT formation energy (eV/atom) = 0.91

6.
Computed, not measured: an optimized crystal structure of KLi2Ca at the GGA-PBEsol level of DFT.

extended XYZ file:
```
4
Lattice="-0.589 -2.607 2.896 5.167 0.740 1.717 -1.787 6.307 2.658" Properties=species:S:1:pos:R:3 pbc="T T T"
Ca -1.064 1.306 2.639
K 1.020 4.877 3.618
Li -0.500 -2.075 2.399
Li 1.557 -0.424 4.288
```

Summary:
- symmetry = No. 6
- volume (A^3/atom) = 36.8
- total magnetization (μB/cell) = 0.00
- DFT formation energy (eV/atom) = 0.15

7.
Computed, not measured: an optimized crystal structure of KLiCa2 at the GGA-PBEsol level of DFT.

extended XYZ file:
```
4
Lattice="3.998 0.000 0.000 0.000 6.410 0.000 -1.999 -3.205 6.524" Properties=species:S:1:pos:R:3 pbc="T T T"
Ca 1.999 3.205 2.860
Ca 0.000 0.000 3.664
K 1.999 0.000 0.000
Li 0.000 3.205 0.000
```

Summary:
- symmetry = No. 71
- volume (A^3/atom) = 41.8
- total magnetization (μB/cell) = 0.00
- DFT formation energy (eV/atom) = 0.15

8.
Computed, not measured: an optimized crystal structure of KLiCa2 at the GGA-PBEsol level of DFT.

extended XYZ file:
```
4
Lattice="4.185 0.000 0.000 0.000 6.250 0.000 0.000 0.000 6.400" Properties=species:S:1:pos:R:3 pbc="T T T"
Ca 0.000 0.000 0.000
Ca 2.093 3.125 0.000
K 2.093 0.000 3.200
Li 0.000 3.125 3.200
```

Summary:
- symmetry = No. 47
- volume (A^3/atom) = 41.9
- total magnetization (μB/cell) = 0.00
- DFT formation energy (eV/atom) = 0.18